No. 1
Here is Cu5Cl after structural relaxation from the Alexandria database. Energies are from PBE.

abc: 5.1785 5.1785 6.0381
angles: 106.13 106.13 31.84
Positions (direct):
Cu (0.0000, 0.0000, 0.0000)
Cu (0.0460, 0.0460, 0.5880)
Cu (0.3763, 0.3763, 0.2299)
Cu (0.6452, 0.6452, 0.3151)
Cu (0.7007, 0.7007, 0.9314)
Cl (0.3286, 0.3286, 0.6043)

Properties
Total DFT energy (no corrections) = -3.520 eV/atom
Energy above the most stable polymorph in this dataset = 0.35 eV per formula unit



No. 2
Here is Mg3Cd7In2 after structural relaxation from the Alexandria database. Energies are from PBE.

abc: 5.6994 3.2771 15.0181
angles: 90.00 97.88 90.00
Positions (direct):
Mg (0.0000, 0.0000, 0.0000)
Mg (0.0485, 0.5000, 0.6599)
Mg (0.9515, 0.5000, 0.3401)
Cd (0.2152, 0.5000, 0.1601)
Cd (0.2454, 0.0000, 0.4986)
Cd (0.2575, 0.0000, 0.8323)
Cd (0.5000, 0.5000, 0.0000)
Cd (0.7425, 0.0000, 0.1677)
Cd (0.7546, 0.0000, 0.5014)
Cd (0.7848, 0.5000, 0.8399)
In (0.4459, 0.0000, 0.3229)
In (0.5541, 0.0000, 0.6771)

Properties
Total DFT energy (no corrections) = -1.421 eV/atom
Energy of formation from the pure elements = -32 meV/atom



No. 3
Here is La3Nd2Si4 after structural relaxation from the Alexandria database. Energies are from PBE.

abc: 7.9406 7.9995 7.9782
angles: 90.00 103.98 90.00
Positions (direct):
La (0.0000, 0.0000, 0.0000)
La (0.0000, 0.5000, 0.5000)
La (0.2629, 0.1830, 0.7438)
La (0.2629, 0.3170, 0.2438)
La (0.7371, 0.6830, 0.7562)
La (0.7371, 0.8170, 0.2562)
Nd (0.2879, 0.6904, 0.8915)
Nd (0.2879, 0.8096, 0.3915)
Nd (0.7121, 0.1904, 0.6085)
Nd (0.7121, 0.3096, 0.1085)
Si (0.0072, 0.6135, 0.1120)
Si (0.0072, 0.8865, 0.6120)
Si (0.4123, 0.0202, 0.1032)
Si (0.4123, 0.4798, 0.6032)
Si (0.5877, 0.5202, 0.3968)
Si (0.5877, 0.9798, 0.8968)
Si (0.9928, 0.1135, 0.3880)
Si (0.9928, 0.3865, 0.8880)

Properties
Total DFT energy (no corrections) = -5.768 eV/atom



No. 4
Here is CdCu2Au7 after structural relaxation from the Alexandria database. Energies are from PBE.

abc: 7.3988 7.3988 4.5623
angles: 90.00 90.00 119.38
Positions (direct):
Cd (0.0000, 0.0000, 0.0000)
Cu (0.2976, 0.7024, 0.5000)
Cu (0.7024, 0.2976, 0.5000)
Au (0.0721, 0.3034, 0.5000)
Au (0.2139, 0.7861, 0.0000)
Au (0.3034, 0.0721, 0.5000)
Au (0.5000, 0.5000, 0.5000)
Au (0.6966, 0.9279, 0.5000)
Au (0.7861, 0.2139, 0.0000)
Au (0.9279, 0.6966, 0.5000)

Properties
Total DFT energy (no corrections) = -3.033 eV/atom
Energy of formation from the pure elements = 171 meV/atom